Entry 1:
{"formula": "Ho5Th4Cd", "functional": "GGA-PBE", "state": "optimized geometry", "dos_at_fermi_per_ev_fu": 10.64, "delta_e_f_kj_per_mol_fu": -40, "energy_ry_per_atom": -0.396, "lattice_angstrom": [[3.5771, 0.0000, 0.0000], [0.0000, 3.5771, 0.0000], [0.0000, 0.0000, 23.8413]], "species": ["Ho", "Ho", "Ho", "Ho", "Ho", "Th", "Th", "Th", "Th", "Cd"], "frac_coords": [[0.5000, 0.5000, 0.9146], [0.5000, 0.5000, 0.0854], [0.5000, 0.5000, 0.7092], [0.5000, 0.5000, 0.5000], [0.5000, 0.5000, 0.2908], [0.0000, 0.0000, 0.8134], [0.0000, 0.0000, 0.3956], [0.0000, 0.0000, 0.6044], [0.0000, 0.0000, 0.1866], [0.0000, 0.0000, 0.0000]]}

***

Entry 2:
{"formula": "MoP2IrS", "functional": "GGA-PBE", "state": "optimized geometry", "dos_at_fermi_per_ev_fu": 5.10, "energy_ry_per_atom": -0.430, "formation_energy_uncorrected_mev_per_atom": 1075, "lattice_angstrom": [[-2.2234, -3.3036, -2.4136], [2.8574, -3.2199, 1.7749], [-2.8222, -0.6107, 3.4356]], "species": ["P", "P", "Mo", "S", "Ir"], "frac_coords": [[0.0000, 0.5000, 0.0000], [0.5000, 0.0000, 0.0000], [0.0000, 0.0000, 0.0000], [0.0000, 0.0000, 0.5000], [0.5000, 0.5000, 0.5000]]}

***

Entry 3:
{"formula": "Nd4Zn2Si", "functional": "GGA-PBE", "state": "optimized geometry", "dos_at_fermi_per_ev_fu": 8.76, "energy_ry_per_atom": -0.301, "formation_energy_uncorrected_mev_per_atom": -236, "lattice_angstrom": [[-1.3428, -1.6317, -4.6847], [1.8605, -4.4368, -1.8068], [-6.3348, -6.0878, 1.1173]], "species": ["Nd", "Nd", "Nd", "Nd", "Zn", "Zn", "Si"], "frac_coords": [[0.8754, 0.8754, 0.3737], [0.6233, 0.6233, 0.1301], [0.1246, 0.1246, 0.6263], [0.3767, 0.3767, 0.8699], [0.7525, 0.7525, 0.7426], [0.2475, 0.2475, 0.2574], [0.0000, 0.0000, 0.0000]]}

***

Entry 4:
{"formula": "TcWAu2", "functional": "GGA-PBE", "state": "optimized geometry", "dos_at_fermi_per_ev_fu": 2.45, "delta_e_f_kj_per_mol_fu": 161, "energy_ry_per_atom": -0.518, "lattice_angstrom": [[4.3378, 0.0000, 0.0000], [0.0000, 2.7777, 0.0098], [0.0000, 2.7694, 5.4411]], "species": ["Tc", "Au", "Au", "W"], "frac_coords": [[0.5000, 0.2500, 0.2500], [0.0000, 0.4990, 0.5008], [0.0000, 0.0010, 0.9992], [0.5000, 0.7500, 0.7500]]}

***

Entry 5:
{"formula": "La12Y6Cd", "functional": "GGA-PBE", "state": "optimized geometry", "dos_at_fermi_per_ev_fu": 27.17, "delta_e_f_kj_per_mol_fu": 175, "energy_ry_per_atom": -0.375, "lattice_angstrom": [[-4.7833, 3.0373, -6.8519], [-3.1819, -8.2944, 0.3617], [-4.6688, 3.5829, 6.6647]], "species": ["Y", "Y", "Y", "Y", "Y", "Y", "La", "La", "La", "La", "La", "La", "La", "La", "La", "La", "La", "La", "Cd"], "frac_coords": [[0.5937, 0.8595, 0.8582], [0.4063, 0.1405, 0.1418], [0.1418, 0.4063, 0.1405], [0.8582, 0.5937, 0.8595], [0.8595, 0.8582, 0.5937], [0.1405, 0.1418, 0.4063], [0.2593, 0.7407, 0.9988], [0.2593, 0.0012, 0.7407], [0.7407, 0.2593, 0.0012], [0.9988, 0.2593, 0.7407], [0.7407, 0.9988, 0.2593], [0.5822, 0.1674, 0.5816], [0.1674, 0.5816, 0.5822], [0.5816, 0.5822, 0.1674], [0.4178, 0.8326, 0.4184], [0.0012, 0.7407, 0.2593], [0.8326, 0.4184, 0.4178], [0.4184, 0.4178, 0.8326], [0.0000, 0.0000, 0.0000]]}

***

Entry 6:
{"formula": "Th4TcRh", "functional": "GGA-PBE", "state": "optimized geometry", "dos_at_fermi_per_ev_fu": 7.19, "delta_e_f_kj_per_mol_fu": -209, "energy_ry_per_atom": -0.607, "lattice_angstrom": [[-4.5767, -0.6069, 4.2745], [-2.3931, -5.6014, -3.3576], [7.2390, -3.9834, 1.4860]], "species": ["Rh", "Rh", "Th", "Th", "Th", "Th", "Th", "Th", "Th", "Th", "Tc", "Tc"], "frac_coords": [[0.3384, 0.2500, 0.0548], [0.6616, 0.7500, 0.9452], [0.7537, 0.0006, 0.2534], [0.2463, 0.5006, 0.7466], [0.8217, 0.2500, 0.8911], [0.1783, 0.7500, 0.1089], [0.2463, 0.9994, 0.7466], [0.3203, 0.2500, 0.3941], [0.7537, 0.4994, 0.2534], [0.6797, 0.7500, 0.6059], [0.8300, 0.2500, 0.5581], [0.1700, 0.7500, 0.4419]]}

***

Entry 7:
{"formula": "FeTeOs2", "functional": "GGA-PBE", "state": "optimized geometry", "dos_at_fermi_per_ev_fu": 2.68, "energy_ry_per_atom": -0.576, "formation_energy_uncorrected_mev_per_atom": 685, "lattice_angstrom": [[8.6666, 0.0100, 0.0059], [8.1664, 2.9017, 0.0059], [8.1664, 1.4126, 2.5347]], "species": ["Os", "Os", "Te", "Fe"], "frac_coords": [[0.0010, 0.0010, 0.0010], [0.2546, 0.2546, 0.2546], [0.4965, 0.4965, 0.4965], [0.7479, 0.7479, 0.7479]]}

***

Entry 8:
{"formula": "Mn2NbOs2", "functional": "GGA-PBE", "state": "optimized geometry", "dos_at_fermi_per_ev_fu": 4.59, "delta_e_f_kj_per_mol_fu": 140, "energy_ry_per_atom": -0.726, "lattice_angstrom": [[-2.8536, 1.6811, -1.9604], [-1.5463, -3.4522, -0.7095], [-3.3557, 1.5881, 10.0242]], "species": ["Nb", "Nb", "Os", "Os", "Os", "Os", "Mn", "Mn", "Mn", "Mn"], "frac_coords": [[0.6111, 0.6111, 0.2221], [0.3889, 0.3889, 0.7779], [0.1810, 0.1810, 0.3620], [0.5000, 0.0000, 0.0000], [0.8190, 0.8190, 0.6380], [0.0000, 0.5000, 0.0000], [0.7500, 0.2500, 0.5000], [0.0741, 0.0741, 0.1482], [0.9259, 0.9259, 0.8518], [0.2500, 0.7500, 0.5000]]}

***

Repeat the fourth record exactly.
{"formula": "TcWAu2", "functional": "GGA-PBE", "state": "optimized geometry", "dos_at_fermi_per_ev_fu": 2.45, "delta_e_f_kj_per_mol_fu": 161, "energy_ry_per_atom": -0.518, "lattice_angstrom": [[4.3378, 0.0000, 0.0000], [0.0000, 2.7777, 0.0098], [0.0000, 2.7694, 5.4411]], "species": ["Tc", "Au", "Au", "W"], "frac_coords": [[0.5000, 0.2500, 0.2500], [0.0000, 0.4990, 0.5008], [0.0000, 0.0010, 0.9992], [0.5000, 0.7500, 0.7500]]}